Record 1
DFT (PBE) results for a geometry-optimized YBiAu4 structure.

CIF file:
```
data_YBiAu4
_chemical_formula_sum 'Y1 Bi1 Au4'
_cell_length_a 4.8679
_cell_length_b 4.8679
_cell_length_c 6.4189
_cell_angle_alpha 90.00
_cell_angle_beta 90.00
_cell_angle_gamma 120.00
_symmetry_space_group_name_H-M 'P 6/m m m'
_symmetry_Int_Tables_number 191
_symmetry_space_group_name_Hall '-P 6 2'
loop_
_atom_site_label
_atom_site_fract_x
_atom_site_fract_y
_atom_site_fract_z
Y1 0.0000 0.0000 0.0000
Bi1 0.0000 0.0000 0.5000
Au1 0.3333 0.6667 0.2354
```

Energy relative to the lowest polymorph listed for this composition in eV per atom: 0.000
ΔH_f (0 K) in eV per atom: -0.44

***

Record 2
DFT (PBE) results for a geometry-optimized YBiAu4 structure.

CIF file:
```
data_YBiAu4
_chemical_formula_sum 'Y4 Bi4 Au16'
_cell_length_a 8.052
_cell_length_b 8.052
_cell_length_c 8.052
_cell_angle_alpha 90.00
_cell_angle_beta 90.00
_cell_angle_gamma 90.00
_symmetry_space_group_name_H-M 'F -4 3 m'
_symmetry_Int_Tables_number 216
_symmetry_space_group_name_Hall 'F -4 2 3'
loop_
_atom_site_label
_atom_site_fract_x
_atom_site_fract_y
_atom_site_fract_z
Y1 0.000 0.000 0.000
Bi1 0.250 0.250 0.250
Au1 0.125 0.125 0.625
```

Energy relative to the lowest polymorph listed for this composition in eV per atom: 0.015
ΔH_f (0 K) in eV per atom: -0.42

***

Record 3
DFT (PBE) results for a geometry-optimized YBi2Au structure.

CIF file:
```
data_YBi2Au
_chemical_formula_sum 'Y1 Bi2 Au1'
_cell_length_a 4.920
_cell_length_b 4.920
_cell_length_c 4.329
_cell_angle_alpha 90.00
_cell_angle_beta 90.00
_cell_angle_gamma 90.00
_symmetry_space_group_name_H-M 'P 4/m m m'
_symmetry_Int_Tables_number 123
_symmetry_space_group_name_Hall '-P 4 2'
loop_
_atom_site_label
_atom_site_fract_x
_atom_site_fract_y
_atom_site_fract_z
Y1 0.000 0.000 0.000
Bi1 0.000 0.500 0.500
Au1 0.500 0.500 0.000
```

ΔH_f (0 K) in eV per atom: -0.46

***

Record 4
DFT (PBE) results for a geometry-optimized Y3BiAu structure.

CIF file:
```
data_Y3BiAu
_chemical_formula_sum 'Y3 Bi1 Au1'
_cell_length_a 5.515
_cell_length_b 5.515
_cell_length_c 5.515
_cell_angle_alpha 90.00
_cell_angle_beta 90.00
_cell_angle_gamma 90.00
_symmetry_space_group_name_H-M 'P m -3 m'
_symmetry_Int_Tables_number 221
_symmetry_space_group_name_Hall '-P 4 2 3'
loop_
_atom_site_label
_atom_site_fract_x
_atom_site_fract_y
_atom_site_fract_z
Y1 0.000 0.000 0.500
Bi1 0.500 0.500 0.500
Au1 0.000 0.000 0.000
```

Energy relative to the lowest polymorph listed for this composition in eV per atom: 0.000
ΔH_f (0 K) in eV per atom: -0.37

***

Record 5
DFT (PBE) results for a geometry-optimized YBi3Au structure.

CIF file:
```
data_YBi3Au
_chemical_formula_sum 'Y1 Bi3 Au1'
_cell_length_a 5.538
_cell_length_b 5.538
_cell_length_c 5.538
_cell_angle_alpha 90.00
_cell_angle_beta 90.00
_cell_angle_gamma 90.00
_symmetry_space_group_name_H-M 'P m -3 m'
_symmetry_Int_Tables_number 221
_symmetry_space_group_name_Hall '-P 4 2 3'
loop_
_atom_site_label
_atom_site_fract_x
_atom_site_fract_y
_atom_site_fract_z
Y1 0.000 0.000 0.000
Bi1 0.000 0.500 0.500
Au1 0.500 0.500 0.500
```

Energy relative to the lowest polymorph listed for this composition in eV per atom: 0.000
ΔH_f (0 K) in eV per atom: 0.20

***

Record 6
DFT (PBE) results for a geometry-optimized YBi2Au structure.

CIF file:
```
data_YBi2Au
_chemical_formula_sum 'Y4 Bi8 Au4'
_cell_length_a 7.565
_cell_length_b 7.565
_cell_length_c 7.565
_cell_angle_alpha 90.00
_cell_angle_beta 90.00
_cell_angle_gamma 90.00
_symmetry_space_group_name_H-M 'F m -3 m'
_symmetry_Int_Tables_number 225
_symmetry_space_group_name_Hall '-F 4 2 3'
loop_
_atom_site_label
_atom_site_fract_x
_atom_site_fract_y
_atom_site_fract_z
Y1 0.000 0.000 0.000
Bi1 0.250 0.250 0.250
Au1 0.000 0.000 0.500
```

ΔH_f (0 K) in eV per atom: -0.17

***

Record 7
DFT (PBE) results for a geometry-optimized Y2BiAu structure.

CIF file:
```
data_Y2BiAu
_chemical_formula_sum 'Y6 Bi3 Au3'
_cell_length_a 4.3751
_cell_length_b 4.3751
_cell_length_c 21.1663
_cell_angle_alpha 90.00
_cell_angle_beta 90.00
_cell_angle_gamma 120.00
_symmetry_space_group_name_H-M 'R -3 m'
_symmetry_Int_Tables_number 166
_symmetry_space_group_name_Hall '-R 3 2"'
loop_
_atom_site_label
_atom_site_fract_x
_atom_site_fract_y
_atom_site_fract_z
Y1 0.0000 0.0000 0.2432
Bi1 0.0000 0.0000 0.0000
Au1 0.0000 0.0000 0.5000
```

ΔH_f (0 K) in eV per atom: -0.73

***

Record 8
DFT (PBE) results for a geometry-optimized YBi2Au structure.

CIF file:
```
data_YBi2Au
_chemical_formula_sum 'Y4 Bi8 Au4'
_cell_length_a 4.727
_cell_length_b 4.727
_cell_length_c 19.155
_cell_angle_alpha 90.00
_cell_angle_beta 90.00
_cell_angle_gamma 90.00
_symmetry_space_group_name_H-M 'I 4/m m m'
_symmetry_Int_Tables_number 139
_symmetry_space_group_name_Hall '-I 4 2'
loop_
_atom_site_label
_atom_site_fract_x
_atom_site_fract_y
_atom_site_fract_z
Y1 0.000 0.000 0.140
Bi1 0.000 0.000 0.352
Bi2 0.000 0.500 0.000
Au1 0.000 0.500 0.250
```

ΔH_f (0 K) in eV per atom: -0.50

***

Record 9
DFT (PBE) results for a geometry-optimized YBiAu3 structure.

CIF file:
```
data_YBiAu3
_chemical_formula_sum 'Y1 Bi1 Au3'
_cell_length_a 5.304
_cell_length_b 5.304
_cell_length_c 5.304
_cell_angle_alpha 90.00
_cell_angle_beta 90.00
_cell_angle_gamma 90.00
_symmetry_space_group_name_H-M 'P m -3 m'
_symmetry_Int_Tables_number 221
_symmetry_space_group_name_Hall '-P 4 2 3'
loop_
_atom_site_label
_atom_site_fract_x
_atom_site_fract_y
_atom_site_fract_z
Y1 0.000 0.000 0.000
Bi1 0.500 0.500 0.500
Au1 0.000 0.500 0.500
```

Energy relative to the lowest polymorph listed for this composition in eV per atom: 0.000
ΔH_f (0 K) in eV per atom: 0.33

***

Record 10
DFT (PBE) results for a geometry-optimized YBiAu2 structure.

CIF file:
```
data_YBiAu2
_chemical_formula_sum 'Y4 Bi4 Au8'
_cell_length_a 4.451
_cell_length_b 4.451
_cell_length_c 20.639
_cell_angle_alpha 90.00
_cell_angle_beta 90.00
_cell_angle_gamma 90.00
_symmetry_space_group_name_H-M 'I -4 2 d'
_symmetry_Int_Tables_number 122
_symmetry_space_group_name_Hall 'I -4 2bw'
loop_
_atom_site_label
_atom_site_fract_x
_atom_site_fract_y
_atom_site_fract_z
Y1 0.000 0.000 0.000
Bi1 0.000 0.000 0.500
Au1 0.246 0.250 0.125
```

ΔH_f (0 K) in eV per atom: -0.34

***

Record 11
DFT (PBE) results for a geometry-optimized YBi2Au2 structure.

CIF file:
```
data_YBi2Au2
_chemical_formula_sum 'Y2 Bi4 Au4'
_cell_length_a 7.786
_cell_length_b 7.786
_cell_length_c 4.208
_cell_angle_alpha 90.00
_cell_angle_beta 90.00
_cell_angle_gamma 90.00
_symmetry_space_group_name_H-M 'P 4/m b m'
_symmetry_Int_Tables_number 127
_symmetry_space_group_name_Hall '-P 4 2ab'
loop_
_atom_site_label
_atom_site_fract_x
_atom_site_fract_y
_atom_site_fract_z
Y1 0.000 0.000 0.000
Bi1 0.182 0.318 0.500
Au1 0.125 0.625 0.000
```

Energy relative to the lowest polymorph listed for this composition in eV per atom: 0.000
ΔH_f (0 K) in eV per atom: -0.40

***

Record 12
DFT (PBE) results for a geometry-optimized YBi2Au structure.

CIF file:
```
data_YBi2Au
_chemical_formula_sum 'Y3 Bi6 Au3'
_cell_length_a 3.6467
_cell_length_b 3.6467
_cell_length_c 31.4720
_cell_angle_alpha 90.00
_cell_angle_beta 90.00
_cell_angle_gamma 120.00
_symmetry_space_group_name_H-M 'R -3 m'
_symmetry_Int_Tables_number 166
_symmetry_space_group_name_Hall '-R 3 2"'
loop_
_atom_site_label
_atom_site_fract_x
_atom_site_fract_y
_atom_site_fract_z
Y1 0.0000 0.0000 0.0000
Bi1 0.0000 0.0000 0.1001
Au1 0.0000 0.0000 0.5000
```

ΔH_f (0 K) in eV per atom: 0.10